Record 1
## FeCuSb (PBE)

Data for an optimized crystal structure of FeCuSb. Values from VASP.

Results
Formation energy (no corrections) = 0.466 eV/atom

```
&SYSTEM
  ibrav = 0, nat = 3, ntyp = 3
/
ATOMIC_SPECIES
Cu 63.55 Cu.upf
Fe 55.84 Fe.upf
Sb 121.76 Sb.upf
CELL_PARAMETERS angstrom
3.1216 0.0000 0.0000
-1.5608 2.7034 0.0000
0.0000 0.0000 6.0161
ATOMIC_POSITIONS crystal
Cu 0.0000 0.0000 0.0233
Fe 0.6667 0.3333 0.3220
Sb 0.3333 0.6667 0.6547
```

Record 2
## AlZnTc (PBE)

Data for an optimized crystal structure of AlZnTc. Values from VASP.

Results
ΔH_f (0 K) = -53 meV per atom
Relative energy among the computed polymorphs = 0.36 eV/f.u.

```
&SYSTEM
  ibrav = 0, nat = 3, ntyp = 3
/
ATOMIC_SPECIES
Zn 65.41 Zn.upf
Tc 98.00 Tc.upf
Al 26.98 Al.upf
CELL_PARAMETERS angstrom
4.9187 -0.0481 0.0000
2.9439 3.9407 0.0000
-3.9313 -1.9463 2.2254
ATOMIC_POSITIONS crystal
Zn 0.6711 0.6711 0.0000
Tc 0.3373 0.3373 0.0000
Al 0.9916 0.9916 0.0000
```